Entry 1:
# RbAs5Ir3 GGA-PBE optimized geometry
data_RbAs5Ir3
_cell_length_a 5.6011
_cell_length_b 5.6011
_cell_length_c 8.0316
_cell_angle_alpha 90.00
_cell_angle_beta 90.00
_cell_angle_gamma 120.00
_space_group_name_H-M_alt 'P 6/m m m'
_space_group_IT_number 191
_space_group_name_Hall '-P 6 2'
loop_
_atom_site_label
_atom_site_fract_x
_atom_site_fract_y
_atom_site_fract_z
_atom_site_occupancy
Rb1 0.0000 0.0000 0.0000 1
As1 0.0000 0.0000 0.5000 1
As2 0.3333 0.6667 0.2596 1
Ir1 0.0000 0.5000 0.5000 1
# **Crystal system**: hexagonal
# **Magnetization**: 0.4 μB per formula unit
# **Energy**: -5.743 eV/atom

***

Entry 2:
# RbAsIr GGA-PBE optimized geometry
data_RbAsIr
_cell_length_a 6.766
_cell_length_b 6.766
_cell_length_c 6.766
_cell_angle_alpha 90.00
_cell_angle_beta 90.00
_cell_angle_gamma 90.00
_space_group_name_H-M_alt 'F -4 3 m'
_space_group_IT_number 216
_space_group_name_Hall 'F -4 2 3'
loop_
_atom_site_label
_atom_site_fract_x
_atom_site_fract_y
_atom_site_fract_z
_atom_site_occupancy
Rb1 0.000 0.000 0.000 1
As1 0.250 0.250 0.750 1
Ir1 0.000 0.000 0.500 1
# **Crystal system**: cubic
# **Polymorph energy (0 for the lowest one)**: 162 meV per atom
# **Magnetization**: 0.0 μB per formula unit
# **Energy**: -3.797 eV/atom

***

Entry 3:
# RbSbAsIr2 GGA-PBE optimized geometry
data_RbSbAsIr2
_cell_length_a 4.134
_cell_length_b 4.134
_cell_length_c 14.676
_cell_angle_alpha 90.00
_cell_angle_beta 90.00
_cell_angle_gamma 90.00
_space_group_name_H-M_alt 'I 4 m m'
_space_group_IT_number 107
_space_group_name_Hall 'I 4 -2'
loop_
_atom_site_label
_atom_site_fract_x
_atom_site_fract_y
_atom_site_fract_z
_atom_site_occupancy
Rb1 0.000 0.000 0.000 1
Sb1 0.000 0.000 0.659 1
As1 0.000 0.000 0.360 1
Ir1 0.000 0.500 0.270 1
# **Crystal system**: tetragonal
# **Magnetization**: 0.0 μB per formula unit
# **Energy**: -5.868 eV/atom

***

Entry 4:
# Re2AsIr GGA-PBE optimized geometry
data_Re2AsIr
_cell_length_a 6.255
_cell_length_b 6.255
_cell_length_c 6.255
_cell_angle_alpha 90.00
_cell_angle_beta 90.00
_cell_angle_gamma 90.00
_space_group_name_H-M_alt 'F -4 3 m'
_space_group_IT_number 216
_space_group_name_Hall 'F -4 2 3'
loop_
_atom_site_label
_atom_site_fract_x
_atom_site_fract_y
_atom_site_fract_z
_atom_site_occupancy
Re1 0.000 0.000 0.000 1
Re2 0.250 0.250 0.250 1
As1 0.000 0.000 0.500 1
Ir1 0.250 0.250 0.750 1
# **Crystal system**: cubic
# **Magnetization**: 0.3 μB per formula unit
# **Energy**: -9.021 eV/atom

***

Entry 5:
# ReAs2Ir GGA-PBE optimized geometry
data_ReAs2Ir
_cell_length_a 6.355
_cell_length_b 6.355
_cell_length_c 6.355
_cell_angle_alpha 90.00
_cell_angle_beta 90.00
_cell_angle_gamma 90.00
_space_group_name_H-M_alt 'F -4 3 m'
_space_group_IT_number 216
_space_group_name_Hall 'F -4 2 3'
loop_
_atom_site_label
_atom_site_fract_x
_atom_site_fract_y
_atom_site_fract_z
_atom_site_occupancy
Re1 0.000 0.000 0.000 1
As1 0.000 0.000 0.500 1
As2 0.250 0.250 0.750 1
Ir1 0.250 0.250 0.250 1
# **Crystal system**: cubic
# **Magnetization**: 0.0 μB per formula unit
# **Energy**: -6.967 eV/atom

***

Entry 6:
# ReAsIr GGA-PBE optimized geometry
data_ReAsIr
_cell_length_a 5.814
_cell_length_b 5.814
_cell_length_c 5.814
_cell_angle_alpha 90.00
_cell_angle_beta 90.00
_cell_angle_gamma 90.00
_space_group_name_H-M_alt 'F -4 3 m'
_space_group_IT_number 216
_space_group_name_Hall 'F -4 2 3'
loop_
_atom_site_label
_atom_site_fract_x
_atom_site_fract_y
_atom_site_fract_z
_atom_site_occupancy
Re1 0.000 0.000 0.000 1
As1 0.250 0.250 0.750 1
Ir1 0.000 0.000 0.500 1
# **Crystal system**: cubic
# **Magnetization**: 0.0 μB per formula unit
# **Energy**: -8.182 eV/atom

***

Entry 7:
# SbAsIr GGA-PBE optimized geometry
data_SbAsIr
_cell_length_a 8.151
_cell_length_b 3.533
_cell_length_c 7.988
_cell_angle_alpha 90.00
_cell_angle_beta 90.00
_cell_angle_gamma 90.00
_space_group_name_H-M_alt 'P n m a'
_space_group_IT_number 62
loop_
_space_group_symop_operation_xyz
'x,y,z'
'-x,-y,-z'
'-x+1/2,-y,z+1/2'
'x+1/2,y,-z+1/2'
'x+1/2,-y+1/2,-z+1/2'
'-x+1/2,y+1/2,z+1/2'
'-x,y+1/2,-z'
'x,-y+1/2,z'
loop_
_atom_site_label
_atom_site_fract_x
_atom_site_fract_y
_atom_site_fract_z
_atom_site_occupancy
Sb1 0.065 0.250 0.166 1
As1 0.150 0.250 0.521 1
Ir1 0.197 0.250 0.847 1
# **Crystal system**: orthorhombic
# **Polymorph energy (0 for the lowest one)**: 447 meV per atom
# **Magnetization**: 0.0 μB per formula unit
# **Energy**: -5.886 eV/atom

***

Entry 8:
# SbAsIr GGA-PBE optimized geometry
data_SbAsIr
_cell_length_a 5.902
_cell_length_b 3.432
_cell_length_c 11.940
_cell_angle_alpha 90.00
_cell_angle_beta 90.00
_cell_angle_gamma 90.00
_space_group_name_H-M_alt 'P n m a'
_space_group_IT_number 62
loop_
_space_group_symop_operation_xyz
'x,y,z'
'-x,-y,-z'
'-x+1/2,-y,z+1/2'
'x+1/2,y,-z+1/2'
'x+1/2,-y+1/2,-z+1/2'
'-x+1/2,y+1/2,z+1/2'
'-x,y+1/2,-z'
'x,-y+1/2,z'
loop_
_atom_site_label
_atom_site_fract_x
_atom_site_fract_y
_atom_site_fract_z
_atom_site_occupancy
Sb1 0.204 0.250 0.104 1
As1 0.201 0.250 0.368 1
Ir1 0.068 0.250 0.751 1
# **Crystal system**: orthorhombic
# **Polymorph energy (0 for the lowest one)**: 487 meV per atom
# **Magnetization**: 0.0 μB per formula unit
# **Energy**: -5.847 eV/atom

***

Entry 9:
# SbAs2Ir GGA-PBE optimized geometry
data_SbAs2Ir
_cell_length_a 6.679
_cell_length_b 6.679
_cell_length_c 6.679
_cell_angle_alpha 90.00
_cell_angle_beta 90.00
_cell_angle_gamma 90.00
_space_group_name_H-M_alt 'F -4 3 m'
_space_group_IT_number 216
_space_group_name_Hall 'F -4 2 3'
loop_
_atom_site_label
_atom_site_fract_x
_atom_site_fract_y
_atom_site_fract_z
_atom_site_occupancy
Sb1 0.000 0.000 0.000 1
As1 0.000 0.000 0.500 1
As2 0.250 0.250 0.750 1
Ir1 0.250 0.250 0.250 1
# **Crystal system**: cubic
# **Magnetization**: 0.0 μB per formula unit
# **Energy**: -5.141 eV/atom

***

Entry 10:
# SbAsIr GGA-PBE optimized geometry
data_SbAsIr
_cell_length_a 6.377
_cell_length_b 6.393
_cell_length_c 6.541
_cell_angle_alpha 90.00
_cell_angle_beta 114.16
_cell_angle_gamma 90.00
_space_group_name_H-M_alt 'P 1 21/c 1'
_space_group_IT_number 14
loop_
_space_group_symop_operation_xyz
'x,y,z'
'-x,-y,-z'
'-x,y+1/2,-z+1/2'
'x,-y+1/2,z+1/2'
loop_
_atom_site_label
_atom_site_fract_x
_atom_site_fract_y
_atom_site_fract_z
_atom_site_occupancy
Sb1 0.165 0.131 0.313 1
As1 0.350 0.633 0.614 1
Ir1 0.242 0.510 0.212 1
# **Crystal system**: monoclinic
# **Polymorph energy (0 for the lowest one)**: 97 meV per atom
# **Magnetization**: 0.0 μB per formula unit
# **Energy**: -6.237 eV/atom

***

Entry 11:
# SbAsIr GGA-PBE optimized geometry
data_SbAsIr
_cell_length_a 6.265
_cell_length_b 6.265
_cell_length_c 6.265
_cell_angle_alpha 90.00
_cell_angle_beta 90.00
_cell_angle_gamma 90.00
_space_group_name_H-M_alt 'F -4 3 m'
_space_group_IT_number 216
_space_group_name_Hall 'F -4 2 3'
loop_
_atom_site_label
_atom_site_fract_x
_atom_site_fract_y
_atom_site_fract_z
_atom_site_occupancy
Sb1 0.000 0.000 0.000 1
As1 0.000 0.000 0.500 1
Ir1 0.250 0.250 0.750 1
# **Crystal system**: cubic
# **Polymorph energy (0 for the lowest one)**: 279 meV per atom
# **Magnetization**: 0.0 μB per formula unit
# **Energy**: -6.054 eV/atom

***

Entry 12:
# SbAsIr GGA-PBE optimized geometry
data_SbAsIr
_cell_length_a 6.420
_cell_length_b 6.383
_cell_length_c 6.484
_cell_angle_alpha 90.00
_cell_angle_beta 113.80
_cell_angle_gamma 90.00
_space_group_name_H-M_alt 'P 1 21/c 1'
_space_group_IT_number 14
loop_
_space_group_symop_operation_xyz
'x,y,z'
'-x,-y,-z'
'-x,y+1/2,-z+1/2'
'x,-y+1/2,z+1/2'
loop_
_atom_site_label
_atom_site_fract_x
_atom_site_fract_y
_atom_site_fract_z
_atom_site_occupancy
Sb1 0.154 0.129 0.371 1
As1 0.347 0.637 0.678 1
Ir1 0.285 0.508 0.297 1
# **Crystal system**: monoclinic
# **Polymorph energy (0 for the lowest one)**: 0 meV per atom
# **Magnetization**: 0.0 μB per formula unit
# **Energy**: -6.333 eV/atom

***

Entry 13:
# SiAs2Ir GGA-PBE optimized geometry
data_SiAs2Ir
_cell_length_a 6.369
_cell_length_b 6.369
_cell_length_c 6.369
_cell_angle_alpha 90.00
_cell_angle_beta 90.00
_cell_angle_gamma 90.00
_space_group_name_H-M_alt 'F -4 3 m'
_space_group_IT_number 216
_space_group_name_Hall 'F -4 2 3'
loop_
_atom_site_label
_atom_site_fract_x
_atom_site_fract_y
_atom_site_fract_z
_atom_site_occupancy
Si1 0.000 0.000 0.000 1
As1 0.000 0.000 0.500 1
As2 0.250 0.250 0.750 1
Ir1 0.250 0.250 0.250 1
# **Crystal system**: cubic
# **Magnetization**: 0.0 μB per formula unit
# **Energy**: -5.508 eV/atom

***

Entry 14:
# SiAsIr GGA-PBE optimized geometry
data_SiAsIr
_cell_length_a 5.885
_cell_length_b 5.885
_cell_length_c 5.885
_cell_angle_alpha 90.00
_cell_angle_beta 90.00
_cell_angle_gamma 90.00
_space_group_name_H-M_alt 'F -4 3 m'
_space_group_IT_number 216
_space_group_name_Hall 'F -4 2 3'
loop_
_atom_site_label
_atom_site_fract_x
_atom_site_fract_y
_atom_site_fract_z
_atom_site_occupancy
Si1 0.000 0.000 0.000 1
As1 0.000 0.000 0.500 1
Ir1 0.250 0.250 0.750 1
# **Crystal system**: cubic
# **Polymorph energy (0 for the lowest one)**: 0 meV per atom
# **Magnetization**: 0.0 μB per formula unit
# **Energy**: -6.595 eV/atom

***

Entry 15:
# SiAsIr GGA-PBE optimized geometry
data_SiAsIr
_cell_length_a 5.878
_cell_length_b 5.878
_cell_length_c 5.878
_cell_angle_alpha 90.00
_cell_angle_beta 90.00
_cell_angle_gamma 90.00
_space_group_name_H-M_alt 'F -4 3 m'
_space_group_IT_number 216
_space_group_name_Hall 'F -4 2 3'
loop_
_atom_site_label
_atom_site_fract_x
_atom_site_fract_y
_atom_site_fract_z
_atom_site_occupancy
Si1 0.000 0.000 0.000 1
As1 0.250 0.250 0.750 1
Ir1 0.250 0.250 0.250 1
# **Crystal system**: cubic
# **Polymorph energy (0 for the lowest one)**: 470 meV per atom
# **Magnetization**: 0.0 μB per formula unit
# **Energy**: -6.125 eV/atom

***

Entry 16:
# SrSiAs3Ir6 GGA-PBE optimized geometry
data_SrSiAs3Ir6
_cell_length_a 7.2392
_cell_length_b 7.2392
_cell_length_c 3.9164
_cell_angle_alpha 90.00
_cell_angle_beta 90.00
_cell_angle_gamma 120.00
_space_group_name_H-M_alt 'P -6 m 2'
_space_group_IT_number 187
_space_group_name_Hall 'P -6 2'
loop_
_atom_site_label
_atom_site_fract_x
_atom_site_fract_y
_atom_site_fract_z
_atom_site_occupancy
Sr1 0.0000 0.0000 0.0000 1
Si1 0.3333 0.6667 0.0000 1
As1 0.3805 0.1903 0.5000 1
Ir1 0.2048 0.4096 0.5000 1
Ir2 0.5307 0.0614 0.0000 1
# **Crystal system**: hexagonal
# **Magnetization**: 0.0 μB per formula unit
# **Energy**: -7.193 eV/atom

***

Entry 17:
# SrSiAsIr2 GGA-PBE optimized geometry
data_SrSiAsIr2
_cell_length_a 4.162
_cell_length_b 4.162
_cell_length_c 10.860
_cell_angle_alpha 90.00
_cell_angle_beta 90.00
_cell_angle_gamma 90.00
_space_group_name_H-M_alt 'I 4 m m'
_space_group_IT_number 107
_space_group_name_Hall 'I 4 -2'
loop_
_atom_site_label
_atom_site_fract_x
_atom_site_fract_y
_atom_site_fract_z
_atom_site_occupancy
Sr1 0.000 0.000 0.000 1
Si1 0.000 0.000 0.364 1
As1 0.000 0.000 0.623 1
Ir1 0.000 0.500 0.255 1
# **Crystal system**: tetragonal
# **Magnetization**: 0.0 μB per formula unit
# **Energy**: -6.623 eV/atom

***

Entry 18:
# Sn2AsIr GGA-PBE optimized geometry
data_Sn2AsIr
_cell_length_a 6.880
_cell_length_b 6.880
_cell_length_c 6.880
_cell_angle_alpha 90.00
_cell_angle_beta 90.00
_cell_angle_gamma 90.00
_space_group_name_H-M_alt 'F -4 3 m'
_space_group_IT_number 216
_space_group_name_Hall 'F -4 2 3'
loop_
_atom_site_label
_atom_site_fract_x
_atom_site_fract_y
_atom_site_fract_z
_atom_site_occupancy
Sn1 0.000 0.000 0.000 1
Sn2 0.250 0.250 0.250 1
As1 0.000 0.000 0.500 1
Ir1 0.250 0.250 0.750 1
# **Crystal system**: cubic
# **Magnetization**: 0.0 μB per formula unit
# **Energy**: -5.050 eV/atom

***

Entry 19:
# SrAs4Ir6 GGA-PBE optimized geometry
data_SrAs4Ir6
_cell_length_a 7.2769
_cell_length_b 7.2769
_cell_length_c 3.9702
_cell_angle_alpha 90.00
_cell_angle_beta 90.00
_cell_angle_gamma 120.00
_space_group_name_H-M_alt 'P -6 m 2'
_space_group_IT_number 187
_space_group_name_Hall 'P -6 2'
loop_
_atom_site_label
_atom_site_fract_x
_atom_site_fract_y
_atom_site_fract_z
_atom_site_occupancy
Sr1 0.0000 0.0000 0.0000 1
As1 0.3333 0.6667 0.0000 1
As2 0.3793 0.1897 0.5000 1
Ir1 0.2010 0.4019 0.5000 1
Ir2 0.5338 0.0675 0.0000 1
# **Crystal system**: hexagonal
# **Magnetization**: 0.0 μB per formula unit
# **Energy**: -6.925 eV/atom

***

Entry 20:
# SrAs2Ir GGA-PBE optimized geometry
data_SrAs2Ir
_cell_length_a 6.917
_cell_length_b 6.917
_cell_length_c 6.917
_cell_angle_alpha 90.00
_cell_angle_beta 90.00
_cell_angle_gamma 90.00
_space_group_name_H-M_alt 'F -4 3 m'
_space_group_IT_number 216
_space_group_name_Hall 'F -4 2 3'
loop_
_atom_site_label
_atom_site_fract_x
_atom_site_fract_y
_atom_site_fract_z
_atom_site_occupancy
Sr1 0.000 0.000 0.000 1
As1 0.000 0.000 0.500 1
As2 0.250 0.250 0.750 1
Ir1 0.250 0.250 0.250 1
# **Crystal system**: cubic
# **Magnetization**: 0.0 μB per formula unit
# **Energy**: -4.746 eV/atom